# 1
A relaxed RbSi2TcS crystal. Source: Alexandria via LeMat-Bulk, functional PBE.

## Properties
For the energy relative to the elements, uncorrected, the calculation gives 2.500 eV per atom. Its crystal system is tetragonal.

Cell: 5.430 5.391 5.430 Å, 90.00 90.00 90.00°
Fractional coordinates of all 5 atoms:
Tc: 0.500 0.500 0.500
Rb: 0.000 0.000 0.000
Si: 0.500 0.000 0.000
Si: 0.000 0.000 0.500
S: 0.000 0.500 0.000

***

# 2
A relaxed LaCdTc crystal. Source: Alexandria via LeMat-Bulk, functional PBE.

## Properties
Its crystal system is cubic. The calculation puts the offset from the most stable computed form at 0.466 eV per atom. As for the formation energy: 1.2 eV per formula unit.

Cell: 4.736 4.736 4.736 Å, 60.00 60.00 60.00°
Fractional coordinates of all 3 atoms:
Cd: 0.000 0.000 0.000
La: 0.500 0.500 0.500
Tc: 0.750 0.750 0.750

***

# 3
A relaxed RbLiSn3 crystal. Source: Alexandria via LeMat-Bulk, functional PBE.

## Properties
Its crystal system is hexagonal. The calculation puts the offset from the most stable computed form at 0.161 eV per atom. As for the formation energy: -0.3 eV per formula unit.

Cell: 6.586 7.263 7.262 Å, 120.00 90.00 90.00°
Fractional coordinates of all 10 atoms:
Sn: 0.250 0.805 0.195
Sn: 0.750 0.195 0.391
Sn: 0.750 0.195 0.805
Sn: 0.250 0.805 0.609
Sn: 0.250 0.391 0.195
Sn: 0.750 0.609 0.805
Rb: 0.750 0.667 0.333
Rb: 0.250 0.333 0.667
Li: 0.500 0.000 0.000
Li: 0.000 0.000 0.000

***

# 4
A relaxed K3Tc2AgO8 crystal. Source: Alexandria via LeMat-Bulk, functional PBE.

## Properties
For the energy relative to the elements, uncorrected, the calculation gives -1.433 eV per atom. Its crystal system is trigonal.

Cell: 6.082 6.082 7.864 Å, 90.00 90.00 120.00°
Fractional coordinates of all 14 atoms:
K: 0.000 0.000 0.000
K: 0.333 0.667 0.655
K: 0.667 0.333 0.345
O: 0.667 0.333 0.016
O: 0.825 0.651 0.705
O: 0.651 0.825 0.295
O: 0.349 0.175 0.705
O: 0.175 0.349 0.295
O: 0.175 0.825 0.295
O: 0.333 0.667 0.984
O: 0.825 0.175 0.705
Tc: 0.667 0.333 0.791
Tc: 0.333 0.667 0.209
Ag: 0.000 0.000 0.500

***

| no. | magnetic moment (μB/atom) | volume (Å³/atom) |
| --- | --- | --- |
| 1 | 0.736 | 31.789 |
| 2 | 0.000 | 25.040 |
| 3 | 0.000 | 30.080 |
| 4 | 0.144 | 17.993 |